VASP calculation (PBE) on a geometry-optimized Ac4SbIrSe2 structure.

Computed properties:
Magnetic moment: 0.00 μB per formula unit
VASP energy: -47.30 eV per cell
Raw formation energy: -10.91 eV per formula unit

Lattice parameters (Å, degrees): 7.9295 4.4874 7.9874 90.00 108.25 90.00
Atoms (fractional coordinates):
Ac1 0.2325 0.0000 0.2266
Ac2 0.2389 0.5000 0.7711
Ac3 0.7611 0.5000 0.2289
Ac4 0.7675 0.0000 0.7734
Sb1 0.0000 0.0000 0.5000
Ir1 0.0000 0.5000 0.0000
Se1 0.5000 0.0000 0.0000
Se2 0.5000 0.5000 0.5000

***

VASP calculation (PBE) on a geometry-optimized La2TbPm6Ho structure.

Computed properties:
Magnetic moment: 0.00 μB per formula unit
VASP energy: -92.85 eV per cell
Energy of formation: 114 meV per atom

Lattice parameters (Å, degrees): 8.8918 8.8918 10.0783 95.25 95.25 118.01
Atoms (fractional coordinates):
La1 0.1930 0.2913 0.0407
La2 0.2913 0.1930 0.5407
La3 0.7087 0.8070 0.4593
La4 0.8070 0.7087 0.9593
Tb1 0.0125 0.9875 0.2500
Tb2 0.9875 0.0125 0.7500
Pm1 0.0198 0.5815 0.1891
Pm2 0.1230 0.7414 0.5563
Pm3 0.2586 0.8770 0.9437
Pm4 0.2951 0.4997 0.3787
Pm5 0.4185 0.9802 0.3109
Pm6 0.4997 0.2951 0.8787
Pm7 0.5003 0.7049 0.1213
Pm8 0.5815 0.0198 0.6891
Pm9 0.7049 0.5003 0.6213
Pm10 0.7414 0.1230 0.0563
Pm11 0.8770 0.2586 0.4437
Pm12 0.9802 0.4185 0.8109
Ho1 0.4048 0.5952 0.7500
Ho2 0.5952 0.4048 0.2500

***

VASP calculation (PBE) on a geometry-optimized MoSeSCl2 structure.

Computed properties:
Offset from the most stable computed form: 677.4 meV per atom
Magnetic moment: 4.68 μB per formula unit
VASP energy: -17.90 eV per cell
Raw formation energy: 4.23 eV per formula unit

Lattice parameters (Å, degrees): 4.9425 4.9425 5.0372 90.00 90.00 90.00
Atoms (fractional coordinates):
Mo1 0.0000 0.0000 0.0000
Se1 0.5000 0.5000 0.5000
S1 0.5000 0.5000 0.0000
Cl1 0.0000 0.5000 0.5000
Cl2 0.5000 0.0000 0.5000

***

Number 3 is which compound?
MoSeSCl2

***

What is the magnetic moment in the second record?
0.00 μB per formula unit

***

What is the VASP energy in the first record?
-47.30 eV per cell